First-principles (PBE) data for crystalline CdRh3C at its relaxed geometry, as listed in Alexandria via LeMat-Bulk.

CIF file:
```
data_CdRh3C
_cell_length_a 4.099
_cell_length_b 8.217
_cell_length_c 5.591
_cell_angle_alpha 90.00
_cell_angle_beta 111.25
_cell_angle_gamma 90.00
_symmetry_space_group_name_H-M 'P 1 21/m 1'
_symmetry_Int_Tables_number 11
loop_
_symmetry_equiv_pos_as_xyz
'x,y,z'
'-x,-y,-z'
'-x,y+1/2,-z'
'x,-y+1/2,z'
loop_
_atom_site_label
_atom_site_fract_x
_atom_site_fract_y
_atom_site_fract_z
_atom_site_occupancy
Cd1 0.115 0.250 0.226 1
Rh1 0.239 0.588 0.477 1
Rh2 0.390 0.250 0.783 1
C1 0.107 0.750 0.210 1
```

* spin magnetization: 0.0 μB/cell
* ρ: 8.20 g/cm³
* raw total energy: -6.02 eV per atom
* ΔH_f (0 K): 0.4163 eV/atom